AlAg2Rh, optimized geometry, DFT PBE; calculated volume = 16.049 A^3/atom; N(E_F) = 0.4798 states/eV per atom; M_tot = 0.0 μB/f.u.; energy of formation = -0.157 eV/atom
1.0
4.721 -1.517 0.000
4.721 1.517 0.000
-1.706 0.000 4.483
Al Ag Rh
1 2 1
direct
0.000 0.000 0.000
0.503 0.503 0.529
0.739 0.739 0.333
0.278 0.278 0.870


Ti6InPd, optimized geometry, DFT PBE; calculated volume = 19.475 A^3/atom; N(E_F) = 1.4275 states/eV per atom; M_tot = 0.0 μB/f.u.; energy of formation = 0.187 eV/atom
1.0
3.974 -2.755 0.000
3.974 2.755 0.000
-2.701 0.000 7.114
Ti In Pd
6 1 1
direct
0.065 0.575 0.210
0.154 0.154 0.456
0.425 0.935 0.790
0.575 0.065 0.210
0.846 0.846 0.544
0.935 0.425 0.790
0.000 0.000 0.000
0.500 0.500 0.500


Sn3Pb5, optimized geometry, DFT PBE; ΔE to the lowest computed polymorph = 10 meV/atom; calculated volume = 30.269 A^3/atom; N(E_F) = 0.3038 states/eV per atom; M_tot = 0.0 μB/f.u.; energy of formation = 0.029 eV/atom
1.0
4.817 -4.990 0.000
4.817 4.990 0.000
0.000 0.000 5.036
Sn Pb
3 5
direct
0.000 0.000 0.000
0.248 0.752 0.500
0.752 0.248 0.500
0.000 0.500 0.000
0.245 0.245 0.500
0.500 0.000 0.000
0.500 0.500 0.000
0.755 0.755 0.500


TaGaH, optimized geometry, DFT PBE; ΔE to the lowest computed polymorph = 192 meV/atom; calculated volume = 13.012 A^3/atom; N(E_F) = 0.6342 states/eV per atom; M_tot = 0.0 μB/f.u.
1.0
-1.409 1.409 4.913
1.409 -1.409 4.913
1.409 1.409 -4.913
Ta Ga H
1 1 1
direct
0.000 0.000 0.000
0.281 0.281 0.000
0.560 0.560 0.000


Repeat the third record exactly.
Sn3Pb5, optimized geometry, DFT PBE; ΔE to the lowest computed polymorph = 10 meV/atom; calculated volume = 30.269 A^3/atom; N(E_F) = 0.3038 states/eV per atom; M_tot = 0.0 μB/f.u.; energy of formation = 0.029 eV/atom
1.0
4.817 -4.990 0.000
4.817 4.990 0.000
0.000 0.000 5.036
Sn Pb
3 5
direct
0.000 0.000 0.000
0.248 0.752 0.500
0.752 0.248 0.500
0.000 0.500 0.000
0.245 0.245 0.500
0.500 0.000 0.000
0.500 0.500 0.000
0.755 0.755 0.500